# TlFeAu2

Crystalline TlFeAu2 at its relaxed geometry (PBE, Alexandria).

a = 5.747 Å, b = 7.982 Å, c = 3.301 Å
α = 90.00°, β = 90.00°, γ = 90.00°
Space group Cmmm (No. 65)
One atom of each set of equivalent atoms:
Tl 0.000 0.000 0.000 [2 per cell]
Fe 0.000 0.500 0.000 [2 per cell]
Au 0.250 0.250 0.500 [4 per cell]

Computed properties:
The energy relative to the elements comes out at 31.8 kJ/mol of atoms. As for the distance to the lowest polymorph of the same formula: 148 meV/atom. As for the electronic total energy: -4.02 eV/atom.